A plane-wave DFT calculation with PBE was carried out for a relaxed structure of CeNd4Er8.

Structure (extended XYZ):
```
13
Lattice="7.5733 -1.1519 1.3247 0.9058 7.6067 1.3247 -1.5132 -1.1519 7.5380" Properties=species:S:1:pos:R:3 pbc="T T T"
Ce 3.4830 2.6515 5.0937
Nd 3.0301 -1.1519 4.4313
Nd -0.3037 3.2274 4.4313
Nd 4.2396 3.2274 1.3247
Nd 0.0000 0.0000 0.0000
Er 2.1470 5.2051 3.1398
Er 6.0677 4.6191 3.8401
Er 4.8190 0.0978 7.0475
Er 1.3772 4.6191 7.0475
Er 5.2831 4.0218 7.7262
Er 1.6829 1.2811 2.4611
Er 5.5888 0.6838 3.1398
Er 0.8983 0.6838 6.3472
```

Properties
V in Å³/cell: 469.8
Energy of formation in eV/atom: 0.529
Electronic total energy in eV/atom: -4.2024